A plane-wave DFT calculation with PBE was carried out for crystalline SrAlCl2 at its relaxed geometry.

abc: 9.183 9.183 9.183
angles: 28.51 28.51 28.51
Fractional positions:
Sr  0.000  0.000  0.000
Cl  0.105  0.105  0.105
Cl  0.895  0.895  0.895
Al  0.500  0.500  0.500

Computed properties:
Formation energy without anion corrections, kJ/mol of atoms: -81.4
Total magnetic moment, μB per cell: 0.000
E above lowest polymorph, eV per formula unit: 1.56